Entry 1:
Computed, not measured: an optimized crystal structure of Rb2BOsW at the PBE level of DFT.

Geometry as POSCAR:
```
Rb2BOsW
1.0
-2.147 4.030 4.648
-0.246 -3.007 2.494
6.138 1.076 1.902
B Os Rb W
1 1 2 1
Direct
0.000 0.000 0.000
0.000 0.500 0.000
0.000 0.000 0.500
0.500 0.000 0.000
0.500 0.500 0.500
```

## Properties
DOS(E_F) in states/eV per atom: 0.9492
Space-group type: No. 123
Formation energy in eV per atom: 2.127


Entry 2:
Computed, not measured: an optimized crystal structure of Rb2YBOs at the PBE level of DFT.

Geometry as POSCAR:
```
Rb2YBOs
1.0
-4.571 3.589 1.559
-1.976 -0.998 -3.496
-2.656 -4.606 2.816
Y B Os Rb
1 1 1 2
Direct
0.500 0.500 0.500
0.000 0.000 0.000
0.000 0.500 0.000
0.000 0.000 0.500
0.500 0.000 0.000
```

## Properties
DOS(E_F) in states/eV per atom: 1.1998
Space-group type: No. 123
Formation energy in eV per atom: 1.279


Entry 3:
Computed, not measured: an optimized crystal structure of ReBOs at the PBE level of DFT.

Geometry as POSCAR:
```
ReBOs
1.0
-1.226 2.527 -0.434
0.395 -0.649 -4.894
-9.230 -4.505 -0.148
Re Os B
4 4 4
Direct
0.500 0.166 0.604
0.000 0.666 0.896
0.000 0.334 0.104
0.500 0.834 0.396
0.500 0.167 0.889
0.000 0.667 0.611
0.500 0.833 0.111
0.000 0.333 0.389
0.500 0.501 0.249
0.000 0.999 0.749
0.000 0.001 0.251
0.500 0.499 0.751
```

## Properties
DOS(E_F) in states/eV per atom: 0.5100
Space-group type: No. 58
Formation energy in eV per atom: -0.082


Entry 4:
Computed, not measured: an optimized crystal structure of ReB2Os at the PBE level of DFT.

Geometry as POSCAR:
```
ReB2Os
1.0
5.587 0.000 0.000
0.000 5.587 0.000
2.793 2.793 2.922
Re B Os
2 4 2
Direct
0.500 0.500 0.000
0.250 0.750 0.500
0.632 0.125 0.250
0.118 0.625 0.250
0.375 0.368 0.750
0.875 0.882 0.750
0.000 0.000 0.000
0.750 0.250 0.500
```

## Properties
DOS(E_F) in states/eV per atom: 0.5602
Space-group type: No. 122
Energy above the lowest structure with this stoichiometry in eV/f.u.: 0.66
Formation energy in eV per atom: 0.476


Entry 5:
Computed, not measured: an optimized crystal structure of ReB2Os at the PBE level of DFT.

Geometry as POSCAR:
```
ReB2Os
1.0
-0.252 -3.824 0.598
-3.295 -1.877 -0.815
-0.152 -2.430 -3.020
Re B Os
1 2 1
Direct
0.000 0.000 0.000
0.250 0.250 0.250
0.750 0.750 0.750
0.500 0.500 0.500
```

## Properties
DOS(E_F) in states/eV per atom: 0.6776
Space-group type: No. 225
Energy above the lowest structure with this stoichiometry in eV/f.u.: 0.00
Formation energy in eV per atom: 0.312


Entry 6:
Computed, not measured: an optimized crystal structure of ReB2SbOs at the PBE level of DFT.

Geometry as POSCAR:
```
ReB2SbOs
1.0
4.119 0.000 0.000
0.000 4.993 0.000
0.000 0.000 4.119
Re B Os Sb
1 2 1 1
Direct
0.000 0.000 0.000
0.000 0.000 0.500
0.500 0.000 0.000
0.000 0.500 0.000
0.500 0.500 0.500
```

## Properties
DOS(E_F) in states/eV per atom: 0.7091
Space-group type: No. 123
Raw formation energy in meV/atom: 1301


Entry 7:
Computed, not measured: an optimized crystal structure of ReBSbOs2 at the PBE level of DFT.

Geometry as POSCAR:
```
ReBSbOs2
1.0
-4.219 1.822 1.394
-1.965 -3.103 -1.890
0.213 -2.594 4.036
Re B Os Sb
1 1 2 1
Direct
0.000 0.000 0.000
0.000 0.500 0.000
0.000 0.000 0.500
0.500 0.000 0.000
0.500 0.500 0.500
```

## Properties
DOS(E_F) in states/eV per atom: 0.8917
Space-group type: No. 123
Raw formation energy in meV/atom: 1658


Entry 8:
Computed, not measured: an optimized crystal structure of ReBTe2Os at the PBE level of DFT.

Geometry as POSCAR:
```
ReBTe2Os
1.0
4.740 0.000 0.000
0.000 3.973 0.000
0.000 0.000 4.740
Re B Te Os
1 1 2 1
Direct
0.500 0.500 0.500
0.000 0.000 0.000
0.000 0.000 0.500
0.500 0.000 0.000
0.000 0.500 0.000
```

## Properties
DOS(E_F) in states/eV per atom: 0.9598
Space-group type: No. 123
Raw formation energy in meV/atom: 1381


Entry 9:
Computed, not measured: an optimized crystal structure of B2OsRh at the PBE level of DFT.

Geometry as POSCAR:
```
B2OsRh
1.0
4.962 0.000 0.000
0.000 4.962 0.000
2.481 2.481 4.189
Rh B Os
2 4 2
Direct
0.500 0.500 0.000
0.250 0.750 0.500
0.628 0.125 0.250
0.122 0.625 0.250
0.375 0.372 0.750
0.875 0.878 0.750
0.000 0.000 0.000
0.750 0.250 0.500
```

## Properties
DOS(E_F) in states/eV per atom: 1.0721
Space-group type: No. 122
Energy above the lowest structure with this stoichiometry in eV/f.u.: 0.94
Formation energy in eV per atom: 0.388


Entry 10:
Computed, not measured: an optimized crystal structure of B2OsRh at the PBE level of DFT.

Geometry as POSCAR:
```
B2OsRh
1.0
-2.749 -2.581 0.755
-1.772 0.020 3.413
-3.671 1.118 0.254
Rh B Os
1 2 1
Direct
0.000 0.000 0.000
0.250 0.250 0.250
0.750 0.750 0.750
0.500 0.500 0.500
```

## Properties
DOS(E_F) in states/eV per atom: 0.4166
Space-group type: No. 225
Energy above the lowest structure with this stoichiometry in eV/f.u.: 0.00
Formation energy in eV per atom: 0.153


Entry 11:
Computed, not measured: an optimized crystal structure of BOsRh2 at the PBE level of DFT.

Geometry as POSCAR:
```
BOsRh2
1.0
-3.944 2.561 -1.839
-1.056 -3.848 -3.094
-5.543 -2.725 1.161
Rh B Os
4 2 2
Direct
0.560 0.125 0.250
0.190 0.625 0.250
0.375 0.440 0.750
0.875 0.810 0.750
0.500 0.500 0.000
0.250 0.750 0.500
0.000 0.000 0.000
0.750 0.250 0.500
```

## Properties
DOS(E_F) in states/eV per atom: 1.0547
Space-group type: No. 122
Formation energy in eV per atom: 0.749


Entry 12:
Computed, not measured: an optimized crystal structure of BOs2Rh at the PBE level of DFT.

Geometry as POSCAR:
```
BOs2Rh
1.0
-2.264 2.964 2.228
-3.622 -1.209 -2.072
-4.166 -3.653 4.861
Rh B Os
2 2 4
Direct
0.000 0.000 0.000
0.750 0.250 0.500
0.500 0.500 0.000
0.250 0.750 0.500
0.522 0.125 0.250
0.228 0.625 0.250
0.375 0.478 0.750
0.875 0.772 0.750
```

## Properties
DOS(E_F) in states/eV per atom: 0.7304
Space-group type: No. 122
Formation energy in eV per atom: 0.928